Entry 1:
The following is a GGA-PBE calculation of a relaxed structure of Rb5BiS4, from Alexandria.

POSCAR file:
```
Rb5BiS4
1.0
-2.649 1.894 -3.297
-4.725 -7.154 -0.313
-1.871 6.021 8.219
Rb Bi S
5 1 4
Cartesian
-6.203 1.373 2.516
-3.815 4.996 2.678
-5.431 -4.235 1.931
-3.687 -2.630 -1.805
-3.042 -0.612 2.093
-1.325 0.947 -1.649
-6.069 -1.324 4.116
-8.190 2.355 4.677
-3.176 2.085 0.493
-1.055 -1.594 -0.068
```

Summary:
space-group type: C2/m
formation energy from raw total energies: -0.80 eV per atom
VASP energy: -3.321 eV/atom



Entry 2:
The following is a GGA-PBE calculation of a relaxed structure of RbBi2S2, from Alexandria.

POSCAR file:
```
RbBi2S2
1.0
-4.123 3.425 -1.564
-2.595 -0.906 4.860
-0.871 5.197 3.711
S Bi Rb
2 2 1
Cartesian
-4.177 4.941 1.897
-3.413 2.776 5.110
-2.575 2.500 2.298
-5.014 5.216 4.709
0.000 0.000 0.000
```

Summary:
energy above the most stable polymorph in this dataset: 0 meV per atom
space-group type: I4/mmm
formation energy from raw total energies: -0.32 eV per atom
VASP energy: -3.721 eV/atom



Number 1: calculated density 3.5 g cm⁻³. Number 2: calculated density 5.9 g cm⁻³.